Entry 1:
LaMnGa2Si (PBE, optimized geometry); energy relative to the elements, uncorrected = -0.41 eV per atom; density of states at the Fermi level = 1.18 states/eV/cell; symmetry = P4/mmm
1.0
4.631 0.000 0.000
0.000 4.631 0.000
0.000 0.000 4.457
Si Mn La Ga
1 1 1 2
Direct
0.000 0.000 0.500
0.000 0.000 0.000
0.500 0.500 0.500
0.500 0.000 0.000
0.000 0.500 0.000

Entry 2:
LaTaMn2Ga (PBE, optimized geometry); density of states at the Fermi level = 5.95 states/eV/cell; symmetry = P4/mmm; formation enthalpy at 0 K = 1.12 eV/atom
1.0
-3.446 -2.070 -1.997
2.696 -0.089 -4.560
1.748 -3.982 1.111
Ga Mn Ta La
1 2 1 1
Direct
0.000 0.000 0.000
0.500 0.000 0.000
0.000 0.000 0.500
0.500 0.500 0.500
0.000 0.500 0.000

Entry 3:
LaMnZnGa2 (PBE, optimized geometry); density of states at the Fermi level = 2.56 states/eV/cell; symmetry = P4/mmm; formation enthalpy at 0 K = -0.29 eV/atom
1.0
4.650 0.000 0.000
0.000 4.650 0.000
0.000 0.000 4.719
Ga La Mn Zn
2 1 1 1
Direct
0.500 0.000 0.000
0.000 0.500 0.000
0.500 0.500 0.500
0.000 0.000 0.000
0.000 0.000 0.500

Entry 4:
LaZr2MnGa (PBE, optimized geometry); density of states at the Fermi level = 6.54 states/eV/cell; symmetry = P4/mmm; formation enthalpy at 0 K = 0.10 eV/atom
1.0
-1.943 3.451 3.046
-3.116 -3.419 1.887
3.420 -1.178 3.515
Zr Ga Mn La
2 1 1 1
Direct
0.500 0.000 0.000
0.000 0.500 0.000
0.000 0.000 0.500
0.000 0.000 0.000
0.500 0.500 0.500

Entry 5:
La3GaMo (PBE, optimized geometry); density of states at the Fermi level = 7.28 states/eV/cell; symmetry = Pm-3m; energy above the lowest structure with this stoichiometry = 0.000 eV per atom; formation enthalpy at 0 K = 0.18 eV/atom
1.0
-1.216 -3.123 4.297
0.459 -4.454 -3.107
5.292 -0.332 1.257
Mo La Ga
1 3 1
Direct
0.000 0.000 0.000
0.000 0.500 0.000
0.000 0.000 0.500
0.500 0.000 0.000
0.500 0.500 0.500

Entry 6:
LaGa2Mo2 (PBE, optimized geometry); density of states at the Fermi level = 10.58 states/eV/cell; symmetry = P4/mbm; energy above the lowest structure with this stoichiometry = 0.128 eV per atom; formation enthalpy at 0 K = 0.12 eV/atom
1.0
7.509 0.000 0.000
0.000 7.509 0.000
0.000 0.000 3.327
La Ga Mo
2 4 4
Direct
0.000 0.000 0.000
0.500 0.500 0.000
0.622 0.122 0.000
0.378 0.878 0.000
0.122 0.378 0.000
0.878 0.622 0.000
0.833 0.333 0.500
0.667 0.833 0.500
0.167 0.667 0.500
0.333 0.167 0.500

Entry 7:
La2GaMo (PBE, optimized geometry); density of states at the Fermi level = 10.08 states/eV/cell; symmetry = I-42d; formation enthalpy at 0 K = 0.37 eV/atom
1.0
8.296 0.000 0.000
0.000 8.296 0.000
4.148 4.148 2.976
La Mo Ga
4 2 2
Direct
0.675 0.125 0.250
0.075 0.625 0.250
0.875 0.925 0.750
0.375 0.325 0.750
0.750 0.250 0.500
0.000 0.000 0.000
0.250 0.750 0.500
0.500 0.500 0.000

Entry 8:
LaGaMo2 (PBE, optimized geometry); density of states at the Fermi level = 4.79 states/eV/cell; symmetry = I-42d; formation enthalpy at 0 K = 0.71 eV/atom
1.0
-1.532 -7.523 -1.598
0.586 -1.739 7.625
-3.174 -4.149 3.331
Mo La Ga
4 2 2
Direct
0.185 0.625 0.250
0.875 0.815 0.750
0.565 0.125 0.250
0.375 0.435 0.750
0.750 0.250 0.500
0.000 0.000 0.000
0.250 0.750 0.500
0.500 0.500 0.000

Entry 9:
LaGa2Mo2 (PBE, optimized geometry); density of states at the Fermi level = 4.44 states/eV/cell; symmetry = I4/mmm; energy above the lowest structure with this stoichiometry = 0.000 eV per atom; formation enthalpy at 0 K = -0.01 eV/atom
1.0
4.732 0.000 0.000
0.000 4.732 0.000
2.366 2.366 4.668
Ga Mo La
2 2 1
Direct
0.750 0.250 0.500
0.250 0.750 0.500
0.623 0.623 0.754
0.377 0.377 0.246
0.000 0.000 0.000

Entry 10:
LaGa2MoOs (PBE, optimized geometry); density of states at the Fermi level = 4.38 states/eV/cell; symmetry = P4/mmm; formation enthalpy at 0 K = 1.12 eV/atom
1.0
-0.980 -2.827 -3.854
4.766 0.877 -1.856
1.663 -3.890 2.430
La Mo Ga Os
1 1 2 1
Direct
0.000 0.500 0.000
0.000 0.000 0.000
0.000 0.000 0.500
0.500 0.000 0.000
0.500 0.500 0.500

Entry 11:
La2GaN (PBE, optimized geometry); energy relative to the elements, uncorrected = -0.57 eV per atom; density of states at the Fermi level = 2.66 states/eV/cell; symmetry = R-3m
1.0
3.600 0.000 0.000
1.800 3.117 0.000
1.800 1.039 9.323
N La Ga
1 2 1
Direct
0.500 0.500 0.500
0.884 0.884 0.347
0.116 0.116 0.653
0.000 0.000 0.000

Entry 12:
La6GaN (PBE, optimized geometry); energy relative to the elements, uncorrected = -0.38 eV per atom; density of states at the Fermi level = 10.40 states/eV/cell; symmetry = P-1
1.0
6.698 -0.009 -0.029
3.326 5.847 0.007
3.299 1.952 6.486
La N Ga
6 1 1
Direct
0.954 0.602 0.227
0.781 0.043 0.774
0.394 0.782 0.776
0.046 0.398 0.773
0.219 0.957 0.226
0.606 0.218 0.224
0.000 0.000 0.000
0.500 0.500 0.500